Record 1
This record from the Alexandria database describes crystalline Ce8Tc2Sb at its relaxed geometry. The functional is GGA-PBE.

Computed properties:
DOS at the Fermi energy = 28.04 states/eV per cell
raw formation energy = -0.17 eV/atom
SG = No. 12

```
data_Ce8Tc2Sb
_symmetry_space_group_name_H-M 'P 1'
_symmetry_Int_Tables_number 1
_cell_length_a 8.032
_cell_length_b 8.032
_cell_length_c 5.109
_cell_angle_alpha 97.54
_cell_angle_beta 97.54
_cell_angle_gamma 117.15
loop_
_symmetry_equiv_pos_as_xyz
'x,y,z'
loop_
_atom_site_label
_atom_site_fract_x
_atom_site_fract_y
_atom_site_fract_z
Ce1 0.085 0.085 0.795
Ce2 0.207 0.429 0.431
Ce3 0.249 0.751 0.000
Ce4 0.429 0.207 0.431
Ce5 0.571 0.793 0.569
Ce6 0.751 0.249 0.000
Ce7 0.793 0.571 0.569
Ce8 0.915 0.915 0.205
Tc1 0.196 0.804 0.500
Tc2 0.804 0.196 0.500
Sb1 0.500 0.500 0.000
```

Record 2
This record from the Alexandria database describes crystalline Ce7Sb4Te4 at its relaxed geometry. The functional is GGA-PBE.

Computed properties:
DOS at the Fermi energy = 90.52 states/eV per cell
raw formation energy = -1.05 eV/atom
SG = No. 139

```
data_Ce7Sb4Te4
_symmetry_space_group_name_H-M 'P 1'
_symmetry_Int_Tables_number 1
_cell_length_a 11.820
_cell_length_b 11.820
_cell_length_c 11.820
_cell_angle_alpha 96.45
_cell_angle_beta 96.45
_cell_angle_gamma 140.83
loop_
_symmetry_equiv_pos_as_xyz
'x,y,z'
loop_
_atom_site_label
_atom_site_fract_x
_atom_site_fract_y
_atom_site_fract_z
Ce1 0.000 0.278 0.278
Ce2 0.000 0.722 0.722
Ce3 0.124 0.500 0.624
Ce4 0.246 0.246 0.000
Ce5 0.278 0.000 0.278
Ce6 0.298 0.298 0.597
Ce7 0.298 0.702 0.000
Ce8 0.500 0.124 0.624
Ce9 0.500 0.876 0.376
Ce10 0.702 0.298 0.000
Ce11 0.702 0.702 0.403
Ce12 0.722 0.000 0.722
Ce13 0.754 0.754 0.000
Ce14 0.876 0.500 0.376
Sb1 0.101 0.601 0.201
Sb2 0.101 0.899 0.500
Sb3 0.399 0.601 0.500
Sb4 0.399 0.899 0.799
Sb5 0.601 0.101 0.201
Sb6 0.601 0.399 0.500
Sb7 0.899 0.101 0.500
Sb8 0.899 0.399 0.799
Te1 0.123 0.123 0.246
Te2 0.123 0.877 0.000
Te3 0.328 0.500 0.828
Te4 0.500 0.328 0.828
Te5 0.500 0.672 0.172
Te6 0.672 0.500 0.172
Te7 0.877 0.123 0.000
Te8 0.877 0.877 0.754
```

Record 3
This record from the Alexandria database describes crystalline Ce2Sb2Te at its relaxed geometry. The functional is GGA-PBE.

Computed properties:
DOS at the Fermi energy = 14.39 states/eV per cell
raw formation energy = -0.84 eV/atom
SG = No. 69

```
data_Ce2Sb2Te
_symmetry_space_group_name_H-M 'P 1'
_symmetry_Int_Tables_number 1
_cell_length_a 8.693
_cell_length_b 8.692
_cell_length_c 4.333
_cell_angle_alpha 75.59
_cell_angle_beta 75.54
_cell_angle_gamma 28.87
loop_
_symmetry_equiv_pos_as_xyz
'x,y,z'
loop_
_atom_site_label
_atom_site_fract_x
_atom_site_fract_y
_atom_site_fract_z
Ce1 0.102 0.102 0.898
Ce2 0.898 0.898 0.102
Sb1 0.250 0.250 0.250
Sb2 0.750 0.750 0.750
Te1 0.500 0.500 0.500
```